## AlNiIr2Os (PBE)

Data for a relaxed structure of AlNiIr2Os.

abc: 4.4271 4.4271 4.1208
angles: 90.00 90.00 90.00
Last column: nearest neighbours and their distance in Å.
Space group P4/mmm (No. 123)
One atom of each set of equivalent atoms:
Al 0.0000 0.0000 0.0000 (multiplicity 1)  2 Ni 2.06, 4 Ir 2.21
Ni 0.0000 0.0000 0.5000 (multiplicity 1)  2 Al 2.06
Ir 0.0000 0.5000 0.0000 (multiplicity 2)  2 Al 2.21
Os 0.5000 0.5000 0.5000 (multiplicity 1)  8 Ir 3.02, 4 Ni 3.13

DFT total energy   -6.360 eV per atom
Density   13.58 g/cm³
Fermi-level density of states   4.99 states/eV per cell